No. 1
Entry from Alexandria via LeMat-Bulk: Sr2GeN2 after structural relaxation (PBE).

Lattice parameters (Å, degrees): 11.8627 11.8627 5.4317 90.00 90.00 90.00
Atoms (fractional coordinates):
Sr1 0.4782 0.1515 0.5000
Sr2 0.0801 0.8662 0.0000
Sr3 0.4199 0.3662 0.0000
Sr4 0.6338 0.4199 0.5000
Sr5 0.5801 0.6338 0.0000
Sr6 0.8485 0.4782 0.0000
Sr7 0.3485 0.0218 0.0000
Sr8 0.5218 0.8485 0.5000
Sr9 0.1338 0.0801 0.5000
Sr10 0.8662 0.9199 0.5000
Sr11 0.9782 0.3485 0.5000
Sr12 0.1515 0.5218 0.0000
Sr13 0.3662 0.5801 0.5000
Sr14 0.6515 0.9782 0.0000
Sr15 0.0218 0.6515 0.5000
Sr16 0.9199 0.1338 0.0000
N1 0.1338 0.0988 0.0000
N2 0.5110 0.1653 0.0000
N3 0.3347 0.9890 0.5000
N4 0.9012 0.1338 0.5000
N5 0.8347 0.5110 0.5000
N6 0.1653 0.4890 0.5000
N7 0.4012 0.3662 0.5000
N8 0.9890 0.6653 0.0000
N9 0.5988 0.6338 0.5000
N10 0.0988 0.8662 0.5000
N11 0.0110 0.3347 0.0000
N12 0.3662 0.5988 0.0000
N13 0.6653 0.0110 0.5000
N14 0.8662 0.9012 0.0000
N15 0.6338 0.4012 0.0000
N16 0.4890 0.8347 0.0000
Ge1 0.7562 0.6508 0.5000
Ge2 0.1508 0.2562 0.0000
Ge3 0.3492 0.7562 0.0000
Ge4 0.7438 0.1508 0.5000
Ge5 0.2562 0.8492 0.5000
Ge6 0.6508 0.2438 0.0000
Ge7 0.2438 0.3492 0.5000
Ge8 0.8492 0.7438 0.0000

Computed properties:
calculated volume = 19.11 Å³/atom
formation energy without anion corrections = -670 meV/atom
distance to the lowest polymorph of the same formula = 0 meV/atom
calculated total energy = -223.85 eV per cell


No. 2
Entry from Alexandria via LeMat-Bulk: Sr3Ge2N2 after structural relaxation (PBE).

Lattice parameters (Å, degrees): 3.9127 9.1019 9.6953 67.47 90.00 90.00
Atoms (fractional coordinates):
Sr1 0.2500 0.8815 0.3530
Sr2 0.2500 0.4812 0.6695
Sr3 0.7500 0.3176 0.0561
Sr4 0.2500 0.6824 0.9439
Sr5 0.7500 0.5188 0.3305
Sr6 0.7500 0.1185 0.6470
N1 0.2500 0.4303 0.1739
N2 0.7500 0.6853 0.4917
N3 0.2500 0.3147 0.5083
N4 0.7500 0.5697 0.8261
Ge1 0.2500 0.0860 0.9441
Ge2 0.7500 0.9140 0.0559
Ge3 0.7500 0.7584 0.6511
Ge4 0.2500 0.2416 0.3489

Computed properties:
calculated volume = 22.78 Å³/atom
formation energy without anion corrections = -672 meV/atom
calculated total energy = -71.27 eV per cell


No. 3
Entry from Alexandria via LeMat-Bulk: Sr7Ge2N2 after structural relaxation (PBE).

Lattice parameters (Å, degrees): 7.0029 6.9264 7.0029 90.01 111.36 89.99
Atoms (fractional coordinates):
Sr1 0.0001 0.2397 0.5000
Sr2 0.5001 0.2296 0.4999
Sr3 0.5000 0.2397 0.9999
Sr4 0.4999 0.7704 0.5001
Sr5 0.5000 0.7603 0.0001
Sr6 0.0000 0.0000 0.0000
Sr7 0.9999 0.7603 0.5000
N1 0.6932 0.0001 0.3068
N2 0.3068 0.9999 0.6932
Ge1 0.8324 0.5000 0.8324
Ge2 0.1676 0.5000 0.1676

Computed properties:
calculated volume = 28.76 Å³/atom
formation energy without anion corrections = -342 meV/atom
calculated total energy = -41.42 eV per cell